(1)
Here is an optimized crystal structure of MgHgW from Alexandria. Energies are from GGA-PBE.

Cell lengths 7.1538, 7.1538, 7.1538 Å; angles 157.07, 157.07, 32.65 degrees
With the nearest neighbours (Å) after each atom.
Element x y z (fractional)
Mg 0.0000 0.0000 0.0000  4 Mg 2.84, 4 W 2.95, 4 Hg 3.12
Hg 0.3267 0.3267 0.0000  4 Hg 2.84, 4 W 3.08, 4 Mg 3.12
W 0.6568 0.6568 0.0000  4 W 2.84, 4 Mg 2.95, 4 Hg 3.08

## Properties
E above lowest polymorph ... 0 meV per atom
Spin magnetization ... 0.00 μB/atom
Space group ... I4mm, No. 107
Calculated formation energy ... 1.41 eV per formula unit
E ... -0.329 Ry per atom

(2)
Here is an optimized crystal structure of MgHgW2 from Alexandria. Energies are from GGA-PBE.

Cell lengths 4.6274, 4.6274, 4.6274 Å; angles 120.17, 120.17, 89.71 degrees
With the nearest neighbours (Å) after each atom.
Element x y z (fractional)
Mg 0.0000 0.0000 0.0000  4 Hg 2.83, 4 W 2.83
Hg 0.7500 0.2500 0.5000  4 W 2.83, 4 Mg 2.83
W 0.2500 0.7500 0.5000  4 W 2.83, 4 Mg 2.83
W 0.5000 0.5000 0.0000  4 Hg 2.83, 4 W 2.83

## Properties
E above lowest polymorph ... 279 meV per atom
Spin magnetization ... 0.00 μB/atom
Space group ... I-4m2, No. 119
Calculated formation energy ... 2.52 eV per formula unit
E ... -0.465 Ry per atom

(3)
Here is an optimized crystal structure of Mg2HgW from Alexandria. Energies are from GGA-PBE.

Cell lengths 2.8825, 2.8825, 9.4641 Å; angles 90.00, 90.00, 102.20 degrees
With the nearest neighbours (Å) after each atom.
Element x y z (fractional)
Mg 0.0000 0.0000 0.0000  6 Mg 2.88-3.16, 2 Hg 2.96
Mg 0.5000 0.5000 0.2743  4 W 2.83-3.13, 6 Mg 2.88-3.16
Hg 0.5000 0.5000 0.7522  4 Hg 2.88, 2 Mg 2.96, 2 W 2.96
W 0.0000 0.0000 0.5043  4 Mg 2.83-3.13, 4 W 2.88, 2 Hg 2.96

## Properties
E above lowest polymorph ... 161 meV per atom
Spin magnetization ... 0.00 μB/atom
Space group ... Cmm2, No. 35
Calculated formation energy ... 1.52 eV per formula unit
E ... -0.274 Ry per atom

(4)
Here is an optimized crystal structure of MgHgW from Alexandria. Energies are from GGA-PBE.

Cell lengths 7.3235, 7.2093, 2.8472 Å; angles 80.96, 76.46, 22.58 degrees
With the nearest neighbours (Å) after each atom.
Element x y z (fractional)
Mg 0.0000 0.0000 0.0000  4 W 2.83-3.11, 4 Mg 2.85, 2 Hg 3.00
Hg 0.6724 0.6724 0.3276  4 Hg 2.85, 2 W 2.98, 2 Mg 3.00
W 0.3431 0.3431 0.6569  4 Mg 2.83-3.11, 4 W 2.85, 2 Hg 2.98

## Properties
E above lowest polymorph ... 2 meV per atom
Spin magnetization ... 0.00 μB/atom
Space group ... Fmm2, No. 42
Calculated formation energy ... 1.41 eV per formula unit
E ... -0.329 Ry per atom

(5)
Here is an optimized crystal structure of MgHg2W from Alexandria. Energies are from GGA-PBE.

Cell lengths 3.0775, 4.8857, 5.0430 Å; angles 90.00, 90.00, 90.00 degrees
With the nearest neighbours (Å) after each atom.
Element x y z (fractional)
Mg 0.0000 0.0000 0.0000  8 Hg 2.86-3.04, 2 Mg 3.08, 2 W 3.14
Hg 0.5000 0.0000 0.5209  4 Mg 2.86-3.04, 4 W 2.92, 2 Hg 3.08
Hg 0.5000 0.5000 0.1033  4 W 2.93-2.98, 4 Mg 2.93, 4 Hg 3.08-3.23
W 0.0000 0.5000 0.6090  8 Hg 2.92-2.98, 2 W 3.08, 2 Mg 3.14

## Properties
E above lowest polymorph ... 57 meV per atom
Spin magnetization ... 0.00 μB/atom
Space group ... Pmm2, No. 25
Calculated formation energy ... 2.00 eV per formula unit
E ... -0.242 Ry per atom

(6)
Here is an optimized crystal structure of MgHg2W from Alexandria. Energies are from GGA-PBE.

Cell lengths 5.4734, 5.4734, 5.4734 Å; angles 136.24, 136.24, 63.62 degrees
With the nearest neighbours (Å) after each atom.
Element x y z (fractional)
Mg 0.0000 0.0000 0.0000  8 Hg 2.88-3.09, 4 W 3.09
Hg 0.5000 0.5000 0.0000  4 Mg 2.88, 4 Hg 3.09, 4 W 3.09
Hg 0.7500 0.2500 0.5000  4 W 2.88, 4 Hg 3.09, 4 Mg 3.09
W 0.2500 0.7500 0.5000  8 Hg 2.88-3.09, 4 Mg 3.09

## Properties
E above lowest polymorph ... 243 meV per atom
Spin magnetization ... 0.00 μB/atom
Space group ... I-4m2, No. 119
Calculated formation energy ... 2.74 eV per formula unit
E ... -0.228 Ry per atom

(7)
Here is an optimized crystal structure of MgHg2W from Alexandria. Energies are from GGA-PBE.

Cell lengths 2.9281, 2.9281, 8.8547 Å; angles 90.00, 90.00, 90.52 degrees
With the nearest neighbours (Å) after each atom.
Element x y z (fractional)
Mg 0.0000 0.0000 0.0000  4 Mg 2.93, 8 Hg 3.02-3.03
Hg 0.5000 0.5000 0.2496  4 Hg 2.93, 4 Mg 3.02-3.03, 4 W 3.03-3.04
Hg 0.5000 0.5000 0.7504  4 Hg 2.93, 4 Mg 3.02-3.03, 4 W 3.03-3.04
W 0.0000 0.0000 0.5000  4 W 2.93, 8 Hg 3.03-3.04

## Properties
E above lowest polymorph ... 27 meV per atom
Spin magnetization ... 0.00 μB/atom
Space group ... Cmmm, No. 65
Calculated formation energy ... 1.88 eV per formula unit
E ... -0.244 Ry per atom

(8)
Here is an optimized crystal structure of MgHgW2 from Alexandria. Energies are from GGA-PBE.

Cell lengths 2.7839, 4.7870, 5.4350 Å; angles 90.00, 103.72, 90.00 degrees
With the nearest neighbours (Å) after each atom.
Element x y z (fractional)
Mg 0.0000 0.0000 0.0000  2 Hg 2.74, 2 Mg 2.78, 4 W 2.91
Hg 0.5000 0.0000 0.5000  2 Mg 2.74, 2 Hg 2.78, 4 W 2.93
W 0.2775 0.5000 0.7625  3 W 2.58-2.78
W 0.7225 0.5000 0.2375  3 W 2.58-2.78

## Properties
E above lowest polymorph ... 215 meV per atom
Spin magnetization ... 0.00 μB/atom
Space group ... P2/m, No. 10
Calculated formation energy ... 2.26 eV per formula unit
E ... -0.469 Ry per atom

(9)
Here is an optimized crystal structure of MgHgW2 from Alexandria. Energies are from GGA-PBE.

Cell lengths 5.3710, 5.3710, 5.3710 Å; angles 143.22, 127.26, 66.02 degrees
With the nearest neighbours (Å) after each atom.
Element x y z (fractional)
Mg 0.0000 0.0000 0.0000  2 Hg 2.85, 8 W 2.94-3.17
Hg 0.7452 0.2452 0.5000  2 Mg 2.85, 8 W 2.93-3.16
W 0.2689 0.7689 0.5000  2 W 2.51
W 0.4747 0.4747 0.0000  2 W 2.51

## Properties
E above lowest polymorph ... 234 meV per atom
Spin magnetization ... 0.00 μB/atom
Space group ... Imm2, No. 44
Calculated formation energy ... 2.34 eV per formula unit
E ... -0.468 Ry per atom

(10)
Here is an optimized crystal structure of MgHgW2 from Alexandria. Energies are from GGA-PBE.

Cell lengths 2.7711, 2.7711, 9.2258 Å; angles 90.00, 90.00, 90.00 degrees
With the nearest neighbours (Å) after each atom.
Element x y z (fractional)
Mg 0.0000 0.0000 0.0000  4 Mg 2.77, 8 W 3.01
Hg 0.0000 0.0000 0.5000  4 Hg 2.77, 8 W 3.05
W 0.5000 0.5000 0.2470  4 W 2.77, 4 Mg 3.01, 4 Hg 3.05
W 0.5000 0.5000 0.7530  4 W 2.77, 4 Mg 3.01, 4 Hg 3.05

## Properties
E above lowest polymorph ... 332 meV per atom
Spin magnetization ... 0.00 μB/atom
Space group ... P4/mmm, No. 123
Calculated formation energy ... 2.73 eV per formula unit
E ... -0.461 Ry per atom

(11)
Here is an optimized crystal structure of Mg2HgW from Alexandria. Energies are from GGA-PBE.

Cell lengths 4.1980, 4.1980, 4.1460 Å; angles 90.00, 90.00, 90.00 degrees
With the nearest neighbours (Å) after each atom.
Element x y z (fractional)
Mg 0.0000 0.5000 0.0000  4 Hg 2.95, 4 W 2.95, 4 Mg 2.97
Mg 0.5000 0.0000 0.0000  4 Hg 2.95, 4 W 2.95, 4 Mg 2.97
Hg 0.0000 0.0000 0.5000  8 Mg 2.95, 4 W 2.97
W 0.5000 0.5000 0.5000  8 Mg 2.95, 4 Hg 2.97

## Properties
E above lowest polymorph ... 216 meV per atom
Spin magnetization ... 0.00 μB/atom
Space group ... P4/mmm, No. 123
Calculated formation energy ... 1.74 eV per formula unit
E ... -0.270 Ry per atom

(12)
Here is an optimized crystal structure of Mg2HgW from Alexandria. Energies are from GGA-PBE.

Cell lengths 5.8453, 5.8453, 5.8453 Å; angles 149.93, 130.15, 59.32 degrees
With the nearest neighbours (Å) after each atom.
Element x y z (fractional)
Mg 0.0000 0.0000 0.0000  4 Hg 2.90, 2 W 2.90, 4 Mg 3.03-3.13
Mg 0.7305 0.2305 0.5000  4 W 2.90, 2 Hg 2.91, 4 Mg 3.03-3.13
Hg 0.4864 0.4864 0.0000  6 Mg 2.90-2.91, 2 W 2.90, 2 Hg 3.03
W 0.2429 0.7429 0.5000  6 Mg 2.90, 2 Hg 2.90, 2 W 3.03

## Properties
E above lowest polymorph ... 265 meV per atom
Spin magnetization ... 0.00 μB/atom
Space group ... Imm2, No. 44
Calculated formation energy ... 1.94 eV per formula unit
E ... -0.267 Ry per atom

(13)
Here is an optimized crystal structure of MgHgW2 from Alexandria. Energies are from GGA-PBE.

Cell lengths 5.5219, 5.5219, 2.7845 Å; angles 97.56, 97.56, 120.86 degrees
With the nearest neighbours (Å) after each atom.
Element x y z (fractional)
Mg 0.0000 0.0000 0.0000  2 Hg 2.73, 2 Mg 2.78, 4 W 2.92
Hg 0.5000 0.5000 0.0000  2 Mg 2.73, 2 Hg 2.78, 4 W 2.92
W 0.0000 0.5000 0.5000  4 W 2.73-2.78, 2 Hg 2.92, 2 Mg 2.92
W 0.5000 0.0000 0.5000  4 W 2.73-2.78, 2 Hg 2.92, 2 Mg 2.92

## Properties
E above lowest polymorph ... 233 meV per atom
Spin magnetization ... 0.00 μB/atom
Space group ... C2/m, No. 12
Calculated formation energy ... 2.33 eV per formula unit
E ... -0.468 Ry per atom

(14)
Here is an optimized crystal structure of MgHg2W from Alexandria. Energies are from GGA-PBE.

Cell lengths 10.2565, 10.2565, 10.2565 Å; angles 16.96, 16.96, 16.96 degrees
With the nearest neighbours (Å) after each atom.
Element x y z (fractional)
Mg 0.0000 0.0000 0.0000  3 W 2.87, 6 Mg 3.02, 3 Hg 3.09
Hg 0.5119 0.5119 0.5119  3 W 2.98, 6 Hg 3.02
Hg 0.7507 0.7507 0.7507  9 Hg 3.02-3.36, 3 Mg 3.09
W 0.2581 0.2581 0.2581  3 Mg 2.87, 3 Hg 2.98, 6 W 3.02

## Properties
E above lowest polymorph ... 5 meV per atom
Spin magnetization ... 0.00 μB/atom
Space group ... R3m, No. 160
Calculated formation energy ... 1.79 eV per formula unit
E ... -0.245 Ry per atom

(15)
Here is an optimized crystal structure of Mg2HgW from Alexandria. Energies are from GGA-PBE.

Cell lengths 2.8784, 2.8784, 9.2307 Å; angles 90.00, 90.00, 98.36 degrees
With the nearest neighbours (Å) after each atom.
Element x y z (fractional)
Mg 0.0000 0.0000 0.2355  4 W 2.87-3.08, 4 Mg 2.88, 2 Hg 3.08
Mg 0.0000 0.0000 0.7645  4 W 2.87-3.08, 4 Mg 2.88, 2 Hg 3.08
Hg 0.5000 0.5000 0.5000  4 Hg 2.88, 4 Mg 3.08
W 0.5000 0.5000 0.0000  8 Mg 2.87-3.08, 4 W 2.88

## Properties
E above lowest polymorph ... 3 meV per atom
Spin magnetization ... 0.00 μB/atom
Space group ... Cmmm, No. 65
Calculated formation energy ... 0.89 eV per formula unit
E ... -0.286 Ry per atom

(16)
Here is an optimized crystal structure of Mg2HgW from Alexandria. Energies are from GGA-PBE.

Cell lengths 2.9494, 4.3294, 5.9019 Å; angles 90.00, 90.00, 90.00 degrees
With the nearest neighbours (Å) after each atom.
Element x y z (fractional)
Mg 0.0000 0.0000 0.0000  2 W 2.91-2.99, 6 Mg 2.95-3.07, 4 Hg 3.01
Mg 0.5000 0.5000 0.2698  2 Hg 2.83-3.07, 4 W 2.93, 6 Mg 2.95-3.07
Hg 0.5000 0.5000 0.7490  6 Mg 2.83-3.07, 2 Hg 2.95, 4 W 3.02
W 0.0000 0.0000 0.4928  6 Mg 2.91-2.99, 2 W 2.95, 4 Hg 3.02

## Properties
E above lowest polymorph ... 252 meV per atom
Spin magnetization ... 0.00 μB/atom
Space group ... Pmm2, No. 25
Calculated formation energy ... 1.89 eV per formula unit
E ... -0.268 Ry per atom

(17)
Here is an optimized crystal structure of Mg2HgW from Alexandria. Energies are from GGA-PBE.

Cell lengths 4.9340, 4.9340, 3.0599 Å; angles 90.00, 90.00, 90.00 degrees
With the nearest neighbours (Å) after each atom.
Element x y z (fractional)
Mg 0.0000 0.5000 0.0000  4 Hg 2.90, 4 W 2.90, 2 Mg 3.06
Mg 0.5000 0.0000 0.0000  4 Hg 2.90, 4 W 2.90, 2 Mg 3.06
Hg 0.0000 0.0000 0.5000  8 Mg 2.90, 2 Hg 3.06
W 0.5000 0.5000 0.5000  8 Mg 2.90, 2 W 3.06

## Properties
E above lowest polymorph ... 275 meV per atom
Spin magnetization ... 0.00 μB/atom
Space group ... P4/mmm, No. 123
Calculated formation energy ... 1.98 eV per formula unit
E ... -0.266 Ry per atom

(18)
Here is an optimized crystal structure of MgHg2W from Alexandria. Energies are from GGA-PBE.

Cell lengths 5.9205, 5.9205, 5.9205 Å; angles 151.15, 126.01, 62.36 degrees
With the nearest neighbours (Å) after each atom.
Element x y z (fractional)
Mg 0.0000 0.0000 0.0000  2 Mg 2.95, 4 Hg 2.96, 4 W 3.07
Hg 0.2534 0.7534 0.5000  2 W 2.90, 6 Hg 2.95-3.07, 2 Mg 2.96
Hg 0.7466 0.2466 0.5000  2 W 2.90, 6 Hg 2.95-3.07, 2 Mg 2.96
W 0.5000 0.5000 0.0000  4 Hg 2.90, 2 W 2.95, 4 Mg 3.07

## Properties
E above lowest polymorph ... 221 meV per atom
Spin magnetization ... 0.00 μB/atom
Space group ... Immm, No. 71
Calculated formation energy ... 2.66 eV per formula unit
E ... -0.230 Ry per atom

(19)
Here is an optimized crystal structure of Mg2HgW from Alexandria. Energies are from GGA-PBE.

Cell lengths 10.0272, 10.0272, 10.0272 Å; angles 17.24, 17.24, 17.24 degrees
With the nearest neighbours (Å) after each atom.
Element x y z (fractional)
Mg 0.2448 0.2448 0.2448  3 W 2.89, 6 Mg 3.01, 3 Hg 3.15
Mg 0.7552 0.7552 0.7552  3 W 2.89, 6 Mg 3.01, 3 Hg 3.15
Hg 0.0000 0.0000 0.0000  6 Hg 3.01, 6 Mg 3.15
W 0.5000 0.5000 0.5000  6 Mg 2.89, 6 W 3.01

## Properties
E above lowest polymorph ... 85 meV per atom
Spin magnetization ... 0.00 μB/atom
Space group ... R-3m, No. 166
Calculated formation energy ... 1.22 eV per formula unit
E ... -0.280 Ry per atom

(20)
Here is an optimized crystal structure of MgHgW2 from Alexandria. Energies are from GGA-PBE.

Cell lengths 4.9565, 4.9565, 5.3804 Å; angles 94.44, 94.44, 32.57 degrees
With the nearest neighbours (Å) after each atom.
Element x y z (fractional)
Mg 0.0000 0.0000 0.0000  3 Hg 2.72-2.93, 2 Mg 2.78, 3 W 2.90-2.92
Hg 0.7517 0.7517 0.2188  3 Mg 2.72-2.93, 2 Hg 2.78, 6 W 3.02-3.05
W 0.2468 0.2468 0.7174  5 W 2.65-2.90, 1 Mg 2.90
W 0.4940 0.4940 0.5211  5 W 2.65-2.90, 2 Mg 2.92

## Properties
E above lowest polymorph ... 195 meV per atom
Spin magnetization ... 0.00 μB/atom
Space group ... Cm, No. 8
Calculated formation energy ... 2.18 eV per formula unit
E ... -0.471 Ry per atom